1.
{
  "formula": "Cr2FeReSn",
  "functional": "GGA-PBE",
  "state": "optimized geometry",
  "lattice_angstrom": [[4.938, 0.000, 0.000], [0.000, 4.938, 0.000], [0.000, 0.000, 4.963]],
  "species": ["Cr", "Cr", "Fe", "Re", "Sn"],
  "fractional_positions": [[0.000, 0.500, 0.000], [0.500, 0.000, 0.000], [0.000, 0.000, 0.500], [0.500, 0.500, 0.500], [0.500, 0.500, 0.000]],
  "space_group": "No. 123",
  "mass_density_g_cm3": 6.38,
  "formation_enthalpy_0k_ev_per_atom": 2.23
}


2.
{
  "formula": "CrFeRe2Sn",
  "functional": "GGA-PBE",
  "state": "optimized geometry",
  "lattice_angstrom": [[4.434, 0.000, 0.000], [0.000, 4.434, 0.000], [0.000, 0.000, 4.724]],
  "species": ["Cr", "Fe", "Re", "Re", "Sn"],
  "fractional_positions": [[0.000, 0.000, 0.000], [0.500, 0.500, 0.500], [0.000, 0.500, 0.000], [0.500, 0.000, 0.000], [0.000, 0.000, 0.500]],
  "space_group": "No. 123",
  "mass_density_g_cm3": 10.71,
  "formation_enthalpy_0k_ev_per_atom": 1.82
}


3.
{
  "formula": "Sr2CrFeRe",
  "functional": "GGA-PBE",
  "state": "optimized geometry",
  "lattice_angstrom": [[5.836, 0.000, 0.000], [0.000, 5.836, 0.000], [0.000, 0.000, 4.123]],
  "species": ["Sr", "Sr", "Cr", "Fe", "Re"],
  "fractional_positions": [[0.000, 0.500, 0.000], [0.500, 0.000, 0.000], [0.000, 0.000, 0.000], [0.000, 0.000, 0.500], [0.500, 0.500, 0.500]],
  "space_group": "No. 123",
  "mass_density_g_cm3": 5.55,
  "formation_enthalpy_0k_ev_per_atom": 1.70
}


4.
{
  "formula": "TaCrFeRe",
  "functional": "GGA-PBE",
  "state": "optimized geometry",
  "lattice_angstrom": [[0.000, 3.033, 3.033], [3.033, 0.000, 3.033], [3.033, 3.033, 0.000]],
  "species": ["Ta", "Cr", "Fe", "Re"],
  "fractional_positions": [[0.000, 0.000, 0.000], [0.250, 0.250, 0.250], [0.750, 0.750, 0.750], [0.500, 0.500, 0.500]],
  "space_group": "No. 216",
  "mass_density_g_cm3": 14.14,
  "formation_enthalpy_0k_ev_per_atom": -0.02
}


5.
{
  "formula": "CrFeRe2Te",
  "functional": "GGA-PBE",
  "state": "optimized geometry",
  "lattice_angstrom": [[4.841, 0.000, 0.000], [0.000, 4.841, 0.000], [0.000, 0.000, 4.705]],
  "species": ["Cr", "Fe", "Re", "Re", "Te"],
  "fractional_positions": [[0.000, 0.000, 0.000], [0.500, 0.500, 0.000], [0.000, 0.500, 0.500], [0.500, 0.000, 0.500], [0.000, 0.000, 0.500]],
  "space_group": "No. 123",
  "formation_energy_uncorrected_ev_per_atom": 2.376,
  "mass_density_g_cm3": 9.15
}


6.
{
  "formula": "TiCrFeRe",
  "functional": "GGA-PBE",
  "state": "optimized geometry",
  "lattice_angstrom": [[0.000, 2.978, 2.978], [2.978, 0.000, 2.978], [2.978, 2.978, 0.000]],
  "species": ["Ti", "Cr", "Fe", "Re"],
  "fractional_positions": [[0.000, 0.000, 0.000], [0.250, 0.250, 0.250], [0.750, 0.750, 0.750], [0.500, 0.500, 0.500]],
  "space_group": "No. 216",
  "mass_density_g_cm3": 10.75,
  "formation_enthalpy_0k_ev_per_atom": -0.13
}